MgIn2 after structural relaxation. Source: Alexandria via LeMat-Bulk, functional PBE.

Geometry as POSCAR:
```
MgIn2
1.0
0.000 4.329 4.329
4.329 0.000 4.329
4.329 4.329 0.000
Mg In
2 4
Direct
0.125 0.125 0.125
0.875 0.875 0.875
0.000 0.500 0.500
0.500 0.000 0.500
0.500 0.500 0.000
0.500 0.500 0.500
```

Spin magnetization = 0.00 μB/f.u.
Calculated formation energy = 0.132 eV per atom
Total energy = -0.164 Ry per atom